Density functional theory data (PBE+U) for SrFeO3 after structural relaxation.

Summary:
* final energy: -59.8 eV per cell

Geometry as CIF:
```
data_SrFeO3
_chemical_formula_sum 'Sr2 Fe2 O6'
_space_group_name_H-M_alt 'P 1'
_space_group_IT_number 1
_space_group_name_Hall 'P 1'
_cell_length_a 4.005
_cell_length_b 4.005
_cell_length_c 9.722
_cell_angle_alpha 78.11
_cell_angle_beta 78.11
_cell_angle_gamma 90.00
loop_
_atom_site_label
_atom_site_fract_x
_atom_site_fract_y
_atom_site_fract_z
O1 0.605 0.917 0.166
O2 0.083 0.771 0.834
O3 0.083 0.395 0.834
O4 0.737 0.737 0.525
O5 0.229 0.917 0.166
O6 0.263 0.263 0.475
Fe1 0.250 0.750 0.500
Fe2 0.000 0.000 0.000
Sr1 0.845 0.345 0.311
Sr2 0.655 0.155 0.689
```